Record 1
DFT (PBE with a Hubbard U) results for an optimized crystal structure of VHgTe2O8.

The structure belongs to space group C2/m (No. 12); the cell edges are 11.9285, 5.4803 and 5.4743 Å and the angles 90.00°, 116.51° and 90.00°. The distinct sites, in fractional coordinates, are V at (0.0000, 0.0000, 0.0000), Hg at (0.0000, 0.5000, 0.5000), Te at (0.2276, 0.5000, 0.2226), O at (0.0771, 0.0000, 0.7886), O at (0.1145, 0.2530, 0.2471) and O at (0.1784, 0.5000, 0.8404).

As for the density of states at the Fermi level: 8.00 states/eV/cell. The calculated volume comes out at 13.3 Å³/atom. The total energy is -129.64 eV/cell. Its crystal system is monoclinic.

=====

Record 2
DFT (PBE with a Hubbard U) results for an optimized crystal structure of VHgTeO6.

The structure belongs to space group P-31c (No. 163); the cell edges are 5.2434, 5.2434 and 9.9625 Å and the angles 90.00°, 90.00° and 120.00°. The distinct sites, in fractional coordinates, are V at (0.3333, 0.6667, 0.2500), Hg at (0.0000, 0.0000, 0.0000), Te at (0.3333, 0.6667, 0.7500) and O at (0.0014, 0.3796, 0.6420).

The calculated volume comes out at 13.2 Å³/atom. The total energy is -102.08 eV/cell. Its crystal system is trigonal.

=====

- Which value of calculated volume does entry 2 give?
  13.2 Å³/atom

=====

- The lowest calculated volume belongs to which entry?
  VHgTeO6

=====

- total energy of number 1 (VHgTe2O8)?
  -129.64 eV/cell